(1)
Density functional theory data (PBE-GGA) for crystalline CaIn4Ga at its relaxed geometry.

```
CaIn4Ga
1.0
-2.893 -5.357 0.934
0.327 -2.759 5.497
-4.968 -0.224 3.633
Ca Ga In
1 1 4
Direct
0.250 0.250 0.250
0.000 0.000 0.000
0.625 0.625 0.124
0.625 0.124 0.625
0.625 0.625 0.625
0.124 0.625 0.625
```

The formation energy from the elements comes out at -0.09 eV/atom. Its size of the total moment is 0.00 μB per cell. As for the symmetry: F-43m. The total energy is -2.756 eV/atom. The density of states at the Fermi level is 0.390 states/eV/atom.

---

(2)
Density functional theory data (PBE-GGA) for crystalline U2MoP3 at its relaxed geometry.

```
U2MoP3
1.0
5.388 0.000 0.000
0.000 8.082 0.001
-2.694 -2.021 5.133
U Mo P
4 2 6
Direct
0.674 0.587 0.348
0.674 0.087 0.348
0.326 0.913 0.652
0.326 0.413 0.652
0.000 0.750 0.000
0.000 0.250 0.000
0.500 0.250 0.000
0.500 0.750 0.000
0.145 0.073 0.291
0.855 0.427 0.709
0.145 0.573 0.291
0.855 0.927 0.709
```

The formation energy from the elements comes out at -0.74 eV/atom. Its size of the total moment is 5.83 μB per cell. As for the symmetry: Immm. The total energy is -9.013 eV/atom. The density of states at the Fermi level is 1.390 states/eV/atom.

---

(3)
Density functional theory data (PBE-GGA) for crystalline Ba2SrTl3 at its relaxed geometry.

```
Ba2SrTl3
1.0
5.958 0.000 0.023
2.979 8.998 0.011
-0.033 0.000 8.504
Ba Sr Tl
4 2 6
Direct
0.000 0.000 0.000
0.000 0.000 0.500
0.335 0.329 0.500
0.665 0.671 0.500
0.334 0.333 0.000
0.666 0.667 0.000
0.829 0.343 0.770
0.500 0.000 0.235
0.171 0.657 0.230
0.829 0.343 0.230
0.171 0.657 0.770
0.500 0.000 0.765
```

The formation energy from the elements comes out at -0.41 eV/atom. Its size of the total moment is 0.00 μB per cell. As for the symmetry: Cmmm. The total energy is -2.518 eV/atom. The density of states at the Fermi level is 0.652 states/eV/atom.

---

(4)
Density functional theory data (PBE-GGA) for crystalline PrTh2Ni6 at its relaxed geometry.

```
PrTh2Ni6
1.0
-3.542 -0.168 -1.464
1.005 -6.822 -1.645
-2.695 1.763 6.315
Pr Th Ni
1 2 6
Direct
0.000 0.000 0.000
0.000 0.333 0.667
0.000 0.667 0.333
0.500 0.336 0.336
0.500 0.664 0.664
0.500 0.000 0.664
0.500 0.664 0.000
0.500 0.336 0.000
0.500 0.000 0.336
```

The formation energy from the elements comes out at -0.38 eV/atom. Its size of the total moment is 0.00 μB per cell. As for the symmetry: P6/mmm. The total energy is -6.416 eV/atom. The density of states at the Fermi level is 1.432 states/eV/atom.